{
  "formula": "MnTe2SeN",
  "functional": "PBE",
  "state": "optimized geometry",
  "formation_energy_uncorrected_kcal_per_mol_atoms": 5.93,
  "m_tot_mub_per_fu": 0.94,
  "spacegroup": "P4/mmm",
  "polymorph_energy_ev_per_atom": 0.000,
  "cell": [[-0.6554, -3.1115, 4.2184], [-2.6509, -3.4708, -2.9719], [2.9925, -1.6449, -0.7483]],
  "species": ["Mn", "Te", "Te", "Se", "N"],
  "frac_coords": [[0.0000, 0.0000, 0.0000], [0.0000, 0.5000, 0.0000], [0.5000, 0.0000, 0.0000], [0.5000, 0.5000, 0.5000], [0.0000, 0.0000, 0.5000]]
}

---

{
  "formula": "MnTe2SeN",
  "functional": "PBE",
  "state": "optimized geometry",
  "formation_energy_uncorrected_kcal_per_mol_atoms": 23.20,
  "m_tot_mub_per_fu": 4.90,
  "spacegroup": "P4/mmm",
  "polymorph_energy_ev_per_atom": 0.749,
  "cell": [[5.6950, 0.0000, 0.0000], [0.0000, 5.6950, 0.0000], [0.0000, 0.0000, 3.6732]],
  "species": ["Mn", "Te", "Te", "Se", "N"],
  "frac_coords": [[0.5000, 0.5000, 0.5000], [0.0000, 0.5000, 0.0000], [0.5000, 0.0000, 0.0000], [0.0000, 0.0000, 0.0000], [0.0000, 0.0000, 0.5000]]
}

---

{
  "formula": "Mn2TeSeN",
  "functional": "PBE",
  "state": "optimized geometry",
  "formation_energy_uncorrected_kcal_per_mol_atoms": 40.82,
  "m_tot_mub_per_fu": 6.18,
  "spacegroup": "P4/mmm",
  "cell": [[-3.6439, 3.5906, 0.6657], [-0.7553, 0.2489, -5.4769], [-3.5833, -3.6969, 0.3261]],
  "species": ["Mn", "Mn", "Te", "Se", "N"],
  "frac_coords": [[0.0000, 0.0000, 0.5000], [0.5000, 0.0000, 0.0000], [0.0000, 0.0000, 0.0000], [0.0000, 0.5000, 0.0000], [0.5000, 0.5000, 0.5000]]
}

---

{
  "formula": "ThMnSe2N",
  "functional": "PBE",
  "state": "optimized geometry",
  "formation_energy_uncorrected_kcal_per_mol_atoms": -26.23,
  "m_tot_mub_per_fu": 4.01,
  "spacegroup": "P4/nmm",
  "cell": [[3.9804, 0.0000, 0.0000], [0.0000, 3.9804, 0.0000], [0.0000, 0.0000, 13.2374]],
  "species": ["Th", "Th", "Mn", "Mn", "Se", "Se", "Se", "Se", "N", "N"],
  "frac_coords": [[0.5000, 0.0000, 0.5927], [0.0000, 0.5000, 0.4073], [0.5000, 0.0000, 0.1007], [0.0000, 0.5000, 0.8993], [0.0000, 0.5000, 0.7174], [0.0000, 0.5000, 0.0889], [0.5000, 0.0000, 0.9111], [0.5000, 0.0000, 0.2826], [0.0000, 0.0000, 0.5000], [0.5000, 0.5000, 0.5000]]
}

---

{
  "formula": "TiMnSeN2",
  "functional": "PBE",
  "state": "optimized geometry",
  "formation_energy_uncorrected_kcal_per_mol_atoms": 4.51,
  "m_tot_mub_per_fu": 4.62,
  "spacegroup": "P4/mmm",
  "polymorph_energy_ev_per_atom": 0.000,
  "cell": [[-0.7650, 3.7033, 0.6930], [-3.6001, -0.5100, -1.2487], [-1.5792, -1.2756, 5.0737]],
  "species": ["N", "N", "Mn", "Se", "Ti"],
  "frac_coords": [[0.0000, 0.5000, 0.0000], [0.5000, 0.0000, 0.0000], [0.5000, 0.5000, 0.5000], [0.0000, 0.0000, 0.5000], [0.0000, 0.0000, 0.0000]]
}

---

{
  "formula": "TiMnSeN2",
  "functional": "PBE",
  "state": "optimized geometry",
  "formation_energy_uncorrected_kcal_per_mol_atoms": 7.09,
  "m_tot_mub_per_fu": 1.18,
  "spacegroup": "P4/mmm",
  "polymorph_energy_ev_per_atom": 0.112,
  "cell": [[-3.3353, -0.6563, -1.3248], [1.3948, -0.3128, -3.3566], [0.6777, -4.9429, 0.7423]],
  "species": ["N", "N", "Mn", "Se", "Ti"],
  "frac_coords": [[0.0000, 0.5000, 0.0000], [0.5000, 0.0000, 0.0000], [0.0000, 0.0000, 0.0000], [0.0000, 0.0000, 0.5000], [0.5000, 0.5000, 0.5000]]
}

---

{
  "formula": "MnTlSeN2",
  "functional": "PBE",
  "state": "optimized geometry",
  "formation_energy_uncorrected_kcal_per_mol_atoms": 43.00,
  "m_tot_mub_per_fu": 5.39,
  "spacegroup": "P4/mmm",
  "polymorph_energy_ev_per_atom": 1.222,
  "cell": [[4.0991, 0.0000, 0.0000], [0.0000, 4.0991, 0.0000], [0.0000, 0.0000, 5.9563]],
  "species": ["Tl", "Mn", "Se", "N", "N"],
  "frac_coords": [[0.0000, 0.0000, 0.0000], [0.5000, 0.5000, 0.5000], [0.0000, 0.0000, 0.5000], [0.0000, 0.5000, 0.0000], [0.5000, 0.0000, 0.0000]]
}

---

{
  "formula": "MnTlSeN2",
  "functional": "PBE",
  "state": "optimized geometry",
  "formation_energy_uncorrected_kcal_per_mol_atoms": 14.82,
  "m_tot_mub_per_fu": 0.00,
  "spacegroup": "P4/mmm",
  "polymorph_energy_ev_per_atom": 0.000,
  "cell": [[3.7852, 0.0000, 0.0000], [0.0000, 3.7852, 0.0000], [0.0000, 0.0000, 5.2985]],
  "species": ["Tl", "Mn", "Se", "N", "N"],
  "frac_coords": [[0.5000, 0.5000, 0.5000], [0.0000, 0.0000, 0.0000], [0.0000, 0.0000, 0.5000], [0.0000, 0.5000, 0.0000], [0.5000, 0.0000, 0.0000]]
}